Entry 1:
This record from Alexandria via LeMat-Bulk describes a geometry-optimized Sr3CaSb2Se structure. The functional is PBE.

Cell: 5.3920 5.5928 9.5137 Å, 107.09 106.46 90.00°
Closest atoms and distances in Å follow each position.
Positions (direct):
Ca: 0.5000 0.0000 0.0000  2 Se 2.70
Sr: 0.8201 0.8201 0.6403  1 Se 3.12, 1 Sb 3.28
Sb: 0.6311 0.6311 0.2622  3 Sr 3.28-3.53, 2 Ca 3.61
Sb: 0.3689 0.3689 0.7378  3 Sr 3.28-3.53, 2 Ca 3.61
Sr: 0.1799 0.1799 0.3597  1 Se 3.12, 1 Sb 3.28
Se: 0.0000 0.0000 0.0000  2 Ca 2.70, 2 Sr 2.80
Sr: 0.0000 0.5000 0.0000  2 Se 2.80

## Properties
Formation energy without anion corrections ... -1.180 eV per atom
Magnetic moment ... 0.000 μB per atom

=====

Entry 2:
This record from Alexandria via LeMat-Bulk describes a geometry-optimized La4Tb2PmTm2 structure. The functional is PBE.

Cell: 5.1636 8.1363 8.0948 Å, 107.14 90.00 108.50°
Closest atoms and distances in Å follow each position.
Positions (direct):
Tb: 0.1120 0.2241 0.6708  1 Pm 3.60, 3 Tm 3.60-3.61, 7 La 3.62-3.68, 1 Tb 3.70
Tm: 0.6687 0.3375 0.9994  5 La 3.56-3.63, 2 Tm 3.60, 3 Tb 3.60-3.61, 2 Pm 3.67
La: 0.4461 0.8922 0.6707  2 Pm 3.62, 2 Tm 3.63, 4 Tb 3.64-3.68, 4 La 3.64-3.68
Pm: 0.0000 0.0000 0.0000  2 Tb 3.60, 6 La 3.62-3.66, 4 Tm 3.67
Tb: 0.8880 0.7759 0.3292  1 Pm 3.60, 3 Tm 3.60-3.61, 7 La 3.62-3.68, 1 Tb 3.70
La: 0.7759 0.5519 0.6687  3 Tm 3.56-3.63, 3 Tb 3.62-3.67, 1 Pm 3.66, 5 La 3.66-3.68
La: 0.5539 0.1078 0.3293  2 Pm 3.62, 2 Tm 3.63, 4 Tb 3.64-3.68, 4 La 3.64-3.68
Tm: 0.3313 0.6625 0.0006  5 La 3.56-3.63, 2 Tm 3.60, 3 Tb 3.60-3.61, 2 Pm 3.67
La: 0.2241 0.4481 0.3313  3 Tm 3.56-3.63, 3 Tb 3.62-3.67, 1 Pm 3.66, 5 La 3.66-3.68

## Properties
ΔH_f (0 K) ... 28.5 meV/atom
Magnetic moment ... 0.000 μB per atom

=====

Entry 3:
This record from Alexandria via LeMat-Bulk describes a geometry-optimized HfNbOsRh structure. The functional is PBE.

Cell: 4.5685 4.5685 4.5685 Å, 60.00 60.00 60.00°
Closest atoms and distances in Å follow each position.
Positions (direct):
Nb: 0.0000 0.0000 0.0000  4 Os 2.80, 4 Rh 2.80
Hf: 0.5000 0.5000 0.5000  4 Rh 2.80, 4 Os 2.80
Rh: 0.7500 0.7500 0.7500  4 Hf 2.80, 4 Nb 2.80
Os: 0.2500 0.2500 0.2500  4 Hf 2.80, 4 Nb 2.80

## Properties
ΔH_f (0 K) ... -472.6 meV/atom
Magnetic moment ... 0.000 μB per atom

=====

Entry 4:
This record from Alexandria via LeMat-Bulk describes a geometry-optimized TlC3 structure. The functional is PBE.

Cell: 5.9823 5.9823 3.9323 Å, 90.00 90.00 120.00°
Closest atoms and distances in Å follow each position.
Positions (direct):
Tl: 0.6667 0.3333 0.7500  12 C 3.11-3.24
C: 0.0852 0.1704 0.7500  2 C 1.53
Tl: 0.3333 0.6667 0.2500  12 C 3.11-3.24
C: 0.8296 0.9148 0.7500  2 C 1.53
C: 0.1704 0.0852 0.2500  2 C 1.53
C: 0.0852 0.9148 0.7500  2 C 1.53
C: 0.9148 0.8296 0.2500  2 C 1.53
C: 0.9148 0.0852 0.2500  2 C 1.53

## Properties
ΔH_f (0 K) ... 2306.5 meV/atom
Magnetic moment ... 0.088 μB per atom

=====

Entry 5:
This record from Alexandria via LeMat-Bulk describes a geometry-optimized AsPRh2 structure. The functional is PBE.

Cell: 7.7655 7.7655 7.7655 Å, 22.12 22.12 22.12°
Closest atoms and distances in Å follow each position.
Positions (direct):
P: 0.7500 0.7500 0.7500  6 Rh 2.43
Rh: 0.0076 0.0076 0.0076  3 P 2.43, 3 As 2.69
As: 0.2500 0.2500 0.2500  6 Rh 2.69, 6 As 2.98
Rh: 0.4924 0.4924 0.4924  3 P 2.43, 3 As 2.69

## Properties
ΔH_f (0 K) ... -296.3 meV/atom
Magnetic moment ... 0.000 μB per atom

=====

Entry 6:
This record from Alexandria via LeMat-Bulk describes a geometry-optimized PrAs2Au structure. The functional is PBE.

Cell: 4.1412 4.1412 20.8576 Å, 90.00 90.00 90.11°
Closest atoms and distances in Å follow each position.
Positions (direct):
As: 0.2805 0.2805 0.5000  1 As 2.57
Pr: 0.7646 0.2354 0.3823  8 As 3.06-3.26
Au: 0.7309 0.7691 0.7500  4 As 2.78-2.81, 4 Au 2.93
Au: 0.2691 0.2309 0.2500  4 As 2.78-2.81, 4 Au 2.93
As: 0.2641 0.7359 0.3399  4 Au 2.78-2.81, 4 Pr 3.06
As: 0.7195 0.7195 0.5000  1 As 2.57
As: 0.7359 0.2641 0.6601  4 Au 2.78-2.81, 4 Pr 3.06
As: 0.2195 0.2195 0.0000  1 As 2.57
Pr: 0.2354 0.7646 0.6177  8 As 3.06-3.26
Pr: 0.2646 0.7354 0.1177  8 As 3.06-3.26
Au: 0.7691 0.7309 0.2500  4 As 2.78-2.81, 4 Au 2.93
As: 0.7641 0.2359 0.1601  4 Au 2.78-2.81, 4 Pr 3.06
Pr: 0.7354 0.2646 0.8823  8 As 3.06-3.26
As: 0.2359 0.7641 0.8399  4 Au 2.78-2.81, 4 Pr 3.06
Au: 0.2309 0.2691 0.7500  4 As 2.78-2.81, 4 Au 2.93
As: 0.7805 0.7805 0.0000  1 As 2.57

## Properties
ΔH_f (0 K) ... -763.4 meV/atom
Magnetic moment ... 0.000 μB per atom